# 1
Here is crystalline SrCd4Hg12 at its relaxed geometry from Alexandria. Energies are from GGA-PBE.

Unit cell a=8.7315 b=8.7315 c=8.7315 alpha=109.47 beta=109.47 gamma=109.47
Fractional coordinates of all 17 atoms:
Cd: 0.5000 0.0000 0.0000
Cd: 0.0000 0.0000 0.5000
Cd: 0.0000 0.5000 0.0000
Cd: 0.5000 0.5000 0.5000
Hg: 0.1487 0.6486 0.7972
Hg: 0.3514 0.5001 0.1487
Hg: 0.4999 0.8513 0.6486
Hg: 0.8513 0.6486 0.4999
Hg: 0.6486 0.4999 0.8513
Hg: 0.3514 0.2028 0.8513
Hg: 0.2028 0.8513 0.3514
Hg: 0.5001 0.1487 0.3514
Hg: 0.7972 0.1487 0.6486
Hg: 0.1487 0.3514 0.5001
Hg: 0.8513 0.3514 0.2028
Hg: 0.6486 0.7972 0.1487
Sr: 0.0000 0.0000 0.0000

=====

# 2
Here is crystalline Sr2Cd3Hg9 at its relaxed geometry from Alexandria. Energies are from GGA-PBE.

Unit cell a=8.8000 b=8.8000 c=12.2174 alpha=89.29 beta=111.38 gamma=120.73
Fractional coordinates of all 28 atoms:
Hg: 0.1136 0.8636 0.2500
Hg: 0.2401 0.5422 0.5905
Hg: 0.3187 0.3153 0.2433
Hg: 0.4543 0.8108 0.4279
Hg: 0.5457 0.1892 0.5721
Hg: 0.6813 0.6847 0.7567
Hg: 0.8864 0.1364 0.7500
Hg: 0.8854 0.8610 0.5837
Hg: 0.5720 0.0755 0.2567
Hg: 0.4517 0.6496 0.9095
Hg: 0.2227 0.6983 0.0837
Hg: 0.7599 0.4578 0.4095
Hg: 0.1172 0.9736 0.9279
Hg: 0.1146 0.1390 0.4163
Hg: 0.5483 0.3504 0.0905
Hg: 0.8828 0.0264 0.0721
Hg: 0.7773 0.3017 0.9163
Hg: 0.4280 0.9245 0.7433
Cd: 0.5000 0.0000 0.0000
Cd: 0.1372 0.8146 0.4931
Cd: 0.5000 0.5000 0.5000
Cd: 0.8215 0.6441 0.0069
Cd: 0.8628 0.1854 0.5069
Cd: 0.1785 0.3559 0.9931
Sr: 0.3314 0.2508 0.7522
Sr: 0.0015 0.4209 0.2522
Sr: 0.6686 0.7492 0.2478
Sr: 0.9985 0.5791 0.7478

=====

# 3
Here is crystalline SrCd2Hg2 at its relaxed geometry from Alexandria. Energies are from GGA-PBE.

Unit cell a=4.4771 b=4.4771 c=6.8755 alpha=90.00 beta=90.00 gamma=90.00
Fractional coordinates of all 5 atoms:
Cd: 0.5000 0.0000 0.5000
Cd: 0.0000 0.5000 0.5000
Sr: 0.0000 0.0000 0.0000
Hg: 0.5000 0.5000 0.7878
Hg: 0.5000 0.5000 0.2122

=====

# 4
Here is crystalline SrCdHg6 at its relaxed geometry from Alexandria. Energies are from GGA-PBE.

Unit cell a=6.2479 b=6.2479 c=9.3236 alpha=70.42 beta=70.42 gamma=60.00
Fractional coordinates of all 8 atoms:
Hg: 0.9368 0.4454 0.6809
Hg: 0.0632 0.0632 0.3191
Hg: 0.5546 0.0632 0.3191
Hg: 0.4454 0.9368 0.6809
Hg: 0.0632 0.5546 0.3191
Hg: 0.9368 0.9368 0.6809
Cd: 0.5000 0.5000 0.5000
Sr: 0.0000 0.0000 0.0000

=====

# 5
Here is crystalline Sr4Cd5Hg6 at its relaxed geometry from Alexandria. Energies are from GGA-PBE.

Unit cell a=4.6385 b=12.1238 c=16.0822 alpha=90.00 beta=90.00 gamma=101.03
Fractional coordinates of all 30 atoms:
Hg: 0.7800 0.5601 0.9798
Hg: 0.5793 0.1585 0.9421
Hg: 0.5825 0.1650 0.6375
Hg: 0.8998 0.7996 0.5909
Hg: 0.4551 0.9102 0.8579
Hg: 0.2200 0.4399 0.4798
Hg: 0.1002 0.2004 0.0909
Hg: 0.2562 0.5125 0.7584
Hg: 0.4175 0.8350 0.1375
Hg: 0.7438 0.4875 0.2584
Hg: 0.4207 0.8415 0.4421
Hg: 0.5449 0.0898 0.3579
Cd: 0.4565 0.9130 0.6717
Cd: 0.5435 0.0870 0.1717
Cd: 0.6724 0.3448 0.7763
Cd: 0.1598 0.3196 0.6394
Cd: 0.3559 0.7118 0.9729
Cd: 0.6441 0.2882 0.4729
Cd: 0.8402 0.6804 0.1394
Cd: 0.3276 0.6552 0.2763
Cd: 0.6810 0.3619 0.1035
Cd: 0.3190 0.6381 0.6035
Sr: 0.8548 0.7095 0.7921
Sr: 0.1452 0.2905 0.2921
Sr: 0.0276 0.0552 0.5124
Sr: 0.9724 0.9448 0.0124
Sr: 0.0478 0.0957 0.7838
Sr: 0.8101 0.6201 0.4367
Sr: 0.1899 0.3799 0.9367
Sr: 0.9522 0.9043 0.2838

=====

# 6
Here is crystalline SrCdHg4 at its relaxed geometry from Alexandria. Energies are from GGA-PBE.

Unit cell a=6.1779 b=6.1779 c=6.1779 alpha=60.00 beta=60.00 gamma=60.00
Fractional coordinates of all 6 atoms:
Cd: 0.0000 0.0000 0.0000
Hg: 0.3746 0.8762 0.3746
Hg: 0.3746 0.3746 0.8762
Hg: 0.3746 0.3746 0.3746
Hg: 0.8762 0.3746 0.3746
Sr: 0.7500 0.7500 0.7500

=====

# 7
Here is crystalline SrCdHg6 at its relaxed geometry from Alexandria. Energies are from GGA-PBE.

Unit cell a=5.3674 b=6.7032 c=6.7032 alpha=116.05 beta=90.00 gamma=90.00
Fractional coordinates of all 8 atoms:
Hg: 0.0000 0.5776 0.4224
Hg: 0.5000 0.4251 0.1146
Hg: 0.5000 0.8854 0.5749
Hg: 0.5000 0.9261 0.0739
Hg: 0.0000 0.6191 0.9424
Hg: 0.0000 0.0576 0.3809
Cd: 0.0000 0.1164 0.8836
Sr: 0.5000 0.3924 0.6076

=====

# 8
Here is crystalline Sr2Cd5Hg4 at its relaxed geometry from Alexandria. Energies are from GGA-PBE.

Unit cell a=6.1938 b=5.9705 c=10.1645 alpha=80.91 beta=72.26 gamma=58.75
Fractional coordinates of all 11 atoms:
Hg: 0.7850 0.6949 0.7351
Hg: 0.4799 0.3051 0.7351
Hg: 0.2150 0.3051 0.2649
Hg: 0.5201 0.6949 0.2649
Sr: 0.1197 0.0000 0.7606
Sr: 0.8803 0.0000 0.2394
Cd: 0.7500 0.5000 0.5000
Cd: 0.5000 0.5000 0.0000
Cd: 0.2500 0.5000 0.5000
Cd: 0.5000 0.0000 0.0000
Cd: 0.0000 0.5000 0.0000

=====

# 9
Here is crystalline SrCd3Hg at its relaxed geometry from Alexandria. Energies are from GGA-PBE.

Unit cell a=5.4733 b=5.4733 c=5.4733 alpha=90.00 beta=90.00 gamma=90.00
Fractional coordinates of all 5 atoms:
Cd: 0.0000 0.5000 0.0000
Cd: 0.0000 0.0000 0.5000
Cd: 0.5000 0.0000 0.0000
Sr: 0.5000 0.5000 0.5000
Hg: 0.0000 0.0000 0.0000

=====

# 10
Here is crystalline SrCd4Hg6 at its relaxed geometry from Alexandria. Energies are from GGA-PBE.

Unit cell a=5.0467 b=8.1174 c=8.1174 alpha=120.00 beta=90.00 gamma=90.00
Fractional coordinates of all 11 atoms:
Sr: 0.0000 0.3333 0.6667
Cd: 0.0000 0.0000 0.0000
Cd: 0.5000 0.6019 0.5120
Cd: 0.5000 0.4880 0.0899
Cd: 0.5000 0.9101 0.3981
Hg: 0.0000 0.4158 0.2845
Hg: 0.0000 0.7155 0.1313
Hg: 0.0000 0.8687 0.5842
Hg: 0.5000 0.1787 0.2757
Hg: 0.5000 0.0971 0.8213
Hg: 0.5000 0.7243 0.9029

=====

# 11
Here is crystalline SrCd3Hg at its relaxed geometry from Alexandria. Energies are from GGA-PBE.

Unit cell a=6.6856 b=6.6856 c=6.6856 alpha=90.00 beta=90.00 gamma=90.00
Fractional coordinates of all 5 atoms:
Sr: 0.0000 0.0000 0.0000
Cd: 0.0000 0.5000 0.0000
Cd: 0.0000 0.0000 0.5000
Cd: 0.5000 0.0000 0.0000
Hg: 0.5000 0.5000 0.5000

=====

# 12
Here is crystalline SrCd2Hg at its relaxed geometry from Alexandria. Energies are from GGA-PBE.

Unit cell a=4.6012 b=3.7336 c=6.8965 alpha=74.03 beta=90.00 gamma=90.00
Fractional coordinates of all 4 atoms:
Cd: 0.5000 0.4546 0.2280
Cd: 0.0000 0.0366 0.0513
Sr: 0.5000 0.6975 0.7229
Hg: 0.0000 0.3113 0.4977

=====

# 13
Here is crystalline Sr3CdHg7 at its relaxed geometry from Alexandria. Energies are from GGA-PBE.

Unit cell a=4.2586 b=11.3533 c=14.2177 alpha=90.00 beta=90.00 gamma=100.81
Fractional coordinates of all 22 atoms:
Sr: 0.0952 0.1904 0.4547
Sr: 0.9048 0.8096 0.9547
Sr: 0.2468 0.4936 0.7500
Sr: 0.0952 0.1904 0.0453
Sr: 0.9048 0.8096 0.5453
Sr: 0.7532 0.5064 0.2500
Hg: 0.6455 0.2911 0.8539
Hg: 0.6455 0.2911 0.6461
Hg: 0.4005 0.8011 0.7500
Hg: 0.7091 0.4182 0.0362
Hg: 0.4878 0.9756 0.3879
Hg: 0.3545 0.7089 0.3539
Hg: 0.2909 0.5818 0.9638
Hg: 0.2909 0.5818 0.5362
Hg: 0.3545 0.7089 0.1461
Hg: 0.5122 0.0244 0.8879
Hg: 0.5995 0.1989 0.2500
Hg: 0.5122 0.0244 0.6121
Hg: 0.4878 0.9756 0.1121
Hg: 0.7091 0.4182 0.4638
Cd: 0.0524 0.1048 0.7500
Cd: 0.9476 0.8952 0.2500

=====

# 14
Here is crystalline Sr3Cd2Hg at its relaxed geometry from Alexandria. Energies are from GGA-PBE.

Unit cell a=4.0512 b=4.0512 c=12.0574 alpha=90.00 beta=90.00 gamma=90.00
Fractional coordinates of all 6 atoms:
Sr: 0.0000 0.0000 0.6627
Sr: 0.0000 0.0000 0.0000
Sr: 0.0000 0.0000 0.3373
Cd: 0.5000 0.5000 0.8331
Cd: 0.5000 0.5000 0.1669
Hg: 0.5000 0.5000 0.5000

=====

# 15
Here is crystalline SrCd2Hg at its relaxed geometry from Alexandria. Energies are from GGA-PBE.

Unit cell a=6.0477 b=4.9047 c=8.0881 alpha=90.00 beta=90.00 gamma=113.92
Fractional coordinates of all 8 atoms:
Cd: 0.7579 0.6288 0.5603
Cd: 0.7579 0.6288 0.9397
Cd: 0.2421 0.3712 0.0603
Cd: 0.2421 0.3712 0.4397
Hg: 0.9449 0.2227 0.7500
Hg: 0.0551 0.7773 0.2500
Sr: 0.3500 0.9247 0.7500
Sr: 0.6500 0.0753 0.2500

=====

# 16
Here is crystalline Sr4Cd2Hg5 at its relaxed geometry from Alexandria. Energies are from GGA-PBE.

Unit cell a=4.2315 b=8.4813 c=9.8189 alpha=85.26 beta=90.00 gamma=90.00
Fractional coordinates of all 11 atoms:
Sr: 0.5000 0.7217 0.6426
Sr: 0.5000 0.2266 0.8658
Sr: 0.5000 0.7734 0.1342
Sr: 0.5000 0.2783 0.3574
Hg: 0.0000 0.1263 0.1195
Hg: 0.0000 0.5910 0.3646
Hg: 0.0000 0.4090 0.6354
Hg: 0.0000 0.8737 0.8805
Hg: 0.0000 0.5000 0.0000
Cd: 0.0000 0.9310 0.3761
Cd: 0.0000 0.0690 0.6239

=====

# 17
Here is crystalline SrCd2Hg10 at its relaxed geometry from Alexandria. Energies are from GGA-PBE.

Unit cell a=6.1488 b=8.1126 c=8.0940 alpha=81.72 beta=67.68 gamma=67.73
Fractional coordinates of all 13 atoms:
Hg: 0.3526 0.6434 0.6514
Hg: 0.5000 0.0000 0.5000
Hg: 0.6474 0.3566 0.3486
Hg: 0.9960 0.3566 0.6514
Hg: 0.7096 0.7888 0.7921
Hg: 0.0000 0.0000 0.5000
Hg: 0.0040 0.6434 0.3486
Hg: 0.2904 0.2112 0.2079
Hg: 0.5016 0.7888 0.2079
Hg: 0.4984 0.2112 0.7921
Cd: 0.0000 0.5000 0.0000
Cd: 0.5000 0.5000 0.0000
Sr: 0.0000 0.0000 0.0000

=====

# 18
Here is crystalline Sr3Cd2Hg3 at its relaxed geometry from Alexandria. Energies are from GGA-PBE.

Unit cell a=4.8125 b=6.7410 c=16.4080 alpha=90.00 beta=90.00 gamma=110.91
Fractional coordinates of all 16 atoms:
Sr: 0.9208 0.8416 0.3932
Sr: 0.0792 0.1584 0.6068
Sr: 0.6412 0.2823 0.2500
Sr: 0.0792 0.1584 0.8932
Sr: 0.9208 0.8416 0.1068
Sr: 0.3588 0.7177 0.7500
Hg: 0.3584 0.7168 0.2500
Hg: 0.3923 0.7846 0.5436
Hg: 0.6077 0.2154 0.0436
Hg: 0.3923 0.7846 0.9564
Hg: 0.6416 0.2832 0.7500
Hg: 0.6077 0.2154 0.4564
Cd: 0.7815 0.5630 0.5960
Cd: 0.2185 0.4370 0.0960
Cd: 0.7815 0.5630 0.9040
Cd: 0.2185 0.4370 0.4040

=====

# 19
Here is crystalline Sr3Cd2Hg7 at its relaxed geometry from Alexandria. Energies are from GGA-PBE.

Unit cell a=4.6614 b=4.9879 c=15.3436 alpha=100.07 beta=90.00 gamma=90.00
Fractional coordinates of all 12 atoms:
Sr: 0.0000 0.1831 0.3584
Sr: 0.5000 0.5000 0.0000
Sr: 0.0000 0.8169 0.6416
Hg: 0.0000 0.5822 0.1558
Hg: 0.0000 0.4178 0.8442
Hg: 0.5000 0.2748 0.5466
Hg: 0.5000 0.0845 0.1577
Hg: 0.0000 0.0000 0.0000
Hg: 0.5000 0.9155 0.8423
Hg: 0.5000 0.7252 0.4534
Cd: 0.5000 0.3558 0.7316
Cd: 0.5000 0.6442 0.2684

=====

# 20
Here is crystalline SrCd12Hg7 at its relaxed geometry from Alexandria. Energies are from GGA-PBE.

Unit cell a=8.1213 b=8.9330 c=8.9330 alpha=68.76 beta=72.36 gamma=107.64
Fractional coordinates of all 20 atoms:
Cd: 0.5162 0.0508 0.3160
Cd: 0.8909 0.2228 0.3186
Cd: 0.4838 0.9492 0.6840
Cd: 0.1091 0.7772 0.6814
Cd: 0.3319 0.5414 0.7772
Cd: 0.5346 0.3669 0.9492
Cd: 0.4654 0.6331 0.0508
Cd: 0.1677 0.6840 0.3669
Cd: 0.7905 0.6814 0.5414
Cd: 0.6681 0.4586 0.2228
Cd: 0.2095 0.3186 0.4586
Cd: 0.8323 0.3160 0.6331
Hg: 0.9057 0.3541 0.9349
Hg: 0.5000 0.0000 0.0000
Hg: 0.4485 0.2890 0.6459
Hg: 0.1595 0.0651 0.2890
Hg: 0.5515 0.7110 0.3541
Hg: 0.0943 0.6459 0.0651
Hg: 0.8405 0.9349 0.7110
Sr: 0.0000 0.0000 0.0000

=====

The records above give, respectively, total magnetization values of 0.0 0.0 0.0 0.0 0.0 0.0 0.0 0.0 0.0 0.0 0.0 0.0 0.0 0.0 0.0 0.0 0.0 0.0 0.0 0.0 μB/cell.
The records above give, respectively, total DFT energy (no corrections) values of -9.38 -12.15 -5.59 -4.87 -18.06 -4.90 -5.98 -11.70 -4.57 -8.48 -2.55 -4.82 -11.80 -9.56 -5.17 -14.59 -7.63 -11.28 -13.08 -15.50 eV per formula unit.
The records above give, respectively, D(E_F) values of 7.0 11.9 3.3 2.6 17.5 3.6 2.7 5.7 3.0 3.7 4.7 2.1 11.2 4.8 4.2 7.2 5.0 9.4 5.1 7.9 states/eV/cell.